This record from Alexandria describes crystalline PmSm3Y3Se8 at its relaxed geometry. The functional is GGA-PBE.

Cell lengths 8.2314, 8.2314, 20.2151 Å; angles 90.00, 90.00, 120.00 degrees
Space group R-3m (No. 166, hexagonal axes)
Asymmetric unit:
Pm1 0.0000 0.0000 0.0000 x3
Sm1 0.0000 0.5000 0.5000 x9
Y1 0.0000 0.5000 0.0000 x9
Se1 0.0000 0.0000 0.2524 x6
Se2 0.0118 0.5059 0.2497 x18

Output
* Fermi-level density of states: 6.37 states/eV/f.u.
* ΔE_f (raw): -1.859 eV per atom
* volume: 26.36 Å³/atom
* E_tot: -282.18 eV for the cell shown

***

This record from Alexandria describes crystalline Pm4Sm3YSe8 at its relaxed geometry. The functional is GGA-PBE.

Cell lengths 8.3425, 8.3425, 20.4970 Å; angles 90.00, 90.00, 120.00 degrees
Space group R-3m (No. 166, hexagonal axes)
Asymmetric unit:
Pm1 0.0000 0.0000 0.0000 x3
Pm2 0.0000 0.5000 0.0000 x9
Sm1 0.0000 0.5000 0.5000 x9
Y1 0.0000 0.0000 0.5000 x3
Se1 0.0000 0.0000 0.2492 x6
Se2 0.0040 0.5020 0.2482 x18

Output
* Fermi-level density of states: 11.09 states/eV/f.u.
* ΔE_f (raw): -1.814 eV per atom
* volume: 25.74 Å³/atom
* E_tot: -289.58 eV for the cell shown